NbAlTe | PBE | optimized geometry

The structure in CIF format:
```
data_NbAlTe
_chemical_formula_sum 'Nb2 Al2 Te2'
_cell_length_a 3.9019
_cell_length_b 3.6405
_cell_length_c 9.6960
_cell_angle_alpha 90.00
_cell_angle_beta 90.00
_cell_angle_gamma 90.00
_space_group_name_H-M_alt 'A m m 2'
_space_group_IT_number 38
loop_
_space_group_symop_operation_xyz
'x,y,z'
'-x,-y,z'
'-x,y,z'
'x,-y,z'
'x,y+1/2,z+1/2'
'-x,-y+1/2,z+1/2'
'-x,y+1/2,z+1/2'
'x,-y+1/2,z+1/2'
loop_
_atom_site_label
_atom_site_type_symbol
_atom_site_fract_x
_atom_site_fract_y
_atom_site_fract_z
Nb1 Nb 0.0000 0.0000 0.0000
Al1 Al 0.5000 0.0000 0.5573
Te1 Te 0.0000 0.0000 0.2867
```

- Total DFT energy (no corrections): -0.2096 hartree per atom
- Uncorrected formation energy: -0.05 eV/atom
- Distance to the lowest polymorph of the same formula: 155 meV/atom


Mn2SnB | PBE | optimized geometry

The structure in CIF format:
```
data_Mn2SnB
_chemical_formula_sum 'Mn8 Sn4 B4'
_cell_length_a 3.7434
_cell_length_b 3.7434
_cell_length_c 15.7604
_cell_angle_alpha 90.00
_cell_angle_beta 90.00
_cell_angle_gamma 90.00
_space_group_name_H-M_alt 'I -4 2 d'
_space_group_IT_number 122
_space_group_name_Hall 'I -4 2bw'
loop_
_atom_site_label
_atom_site_type_symbol
_atom_site_fract_x
_atom_site_fract_y
_atom_site_fract_z
Mn1 Mn 0.1312 0.7500 0.1250
Sn1 Sn 0.0000 0.0000 0.5000
B1 B 0.0000 0.0000 0.0000
```

- Formation energy from the elements: 2.492 eV/f.u.
- Total DFT energy (no corrections): -0.2437 hartree per atom
- Distance to the lowest polymorph of the same formula: 0 meV/atom